## EuTmCu4 (PBE)

Data for EuTmCu4 after structural relaxation.

abc: 5.2868 5.2868 5.2868
angles: 60.00 60.00 60.00
Last column: nearest neighbours and their distance in Å.
Fractional positions:
Eu1 0.0000 0.0000 0.0000  12 Cu 3.10, 4 Tm 3.24
Tm1 0.2500 0.2500 0.2500  12 Cu 3.10, 4 Eu 3.24
Cu1 0.6241 0.6241 0.1278  6 Cu 2.62-2.66
Cu2 0.6241 0.1278 0.6241  6 Cu 2.62-2.66
Cu3 0.6241 0.6241 0.6241  6 Cu 2.62-2.66
Cu4 0.1278 0.6241 0.6241  6 Cu 2.62-2.66

Computed properties:
**SG**: F-43m (216)
**DFT formation energy**: -0.103 eV/atom

=====

## Pm4Nd4Ho (PBE)

Data for Pm4Nd4Ho after structural relaxation.

abc: 5.1589 8.1625 8.1625
angles: 84.27 71.58 71.58
Last column: nearest neighbours and their distance in Å.
Fractional positions:
Pm1 0.6670 0.3331 0.3330  6 Nd 3.65-3.66, 1 Ho 3.65, 5 Pm 3.65-3.66
Pm2 0.3330 0.6669 0.6670  6 Nd 3.65-3.66, 1 Ho 3.65, 5 Pm 3.65-3.66
Pm3 0.9999 0.6670 0.3331  6 Nd 3.65-3.66, 1 Ho 3.65, 5 Pm 3.65-3.66
Pm4 0.0001 0.3330 0.6669  6 Nd 3.65-3.66, 1 Ho 3.65, 5 Pm 3.65-3.66
Nd1 0.6660 0.6681 0.9998  4 Nd 3.63-3.67, 2 Ho 3.64, 6 Pm 3.65-3.66
Nd2 0.3340 0.3319 0.0002  4 Nd 3.63-3.67, 2 Ho 3.64, 6 Pm 3.65-3.66
Nd3 0.6658 0.0002 0.6681  4 Nd 3.63-3.67, 2 Ho 3.64, 6 Pm 3.65-3.66
Nd4 0.3342 0.9998 0.3319  4 Nd 3.63-3.67, 2 Ho 3.64, 6 Pm 3.65-3.66
Ho1 0.0000 0.0000 0.0000  8 Nd 3.64, 4 Pm 3.65

Computed properties:
**SG**: I4/mmm (139)
**DFT formation energy**: 0.014 eV/atom

=====

## Pa2ZnGe2 (PBE)

Data for Pa2ZnGe2 after structural relaxation.

abc: 5.7122 5.7122 5.7122
angles: 138.83 118.95 76.30
Last column: nearest neighbours and their distance in Å.
Fractional positions:
Pa1 0.2167 0.2167 0.0000  6 Ge 3.03-3.07, 2 Zn 3.24
Pa2 0.7833 0.7833 0.0000  6 Ge 3.03-3.07, 2 Zn 3.24
Zn1 0.5000 0.0000 0.5000  4 Ge 2.59
Ge1 0.2168 0.5000 0.7168  1 Ge 2.52, 2 Zn 2.59
Ge2 0.7832 0.5000 0.2832  1 Ge 2.52, 2 Zn 2.59

Computed properties:
**Energy relative to the lowest polymorph listed for this composition**: 0.0234 eV per atom
**SG**: Immm (71)
**DFT formation energy**: -0.305 eV/atom

=====

## Sm2In3Pb3 (PBE)

Data for Sm2In3Pb3 after structural relaxation.

abc: 4.9503 4.7404 9.4191
angles: 90.00 90.00 90.00
Last column: nearest neighbours and their distance in Å.
Fractional positions:
Sm1 0.0000 0.0000 0.7528  6 Pb 3.32-3.43, 6 In 3.40-3.43
Sm2 0.0000 0.0000 0.2472  6 Pb 3.32-3.43, 6 In 3.40-3.43
In1 0.5000 0.5000 0.7580  2 In 3.29, 6 Pb 3.37-3.47, 4 Sm 3.43
In2 0.5000 0.5000 0.2420  2 In 3.29, 6 Pb 3.37-3.47, 4 Sm 3.43
In3 0.5000 0.0000 0.0000  4 In 3.29, 4 Sm 3.40, 4 Pb 3.43
Pb1 0.5000 0.0000 0.5000  4 In 3.39, 4 Pb 3.43, 4 Sm 3.43
Pb2 0.0000 0.5000 0.0000  4 Sm 3.32, 8 In 3.37-3.43
Pb3 0.0000 0.5000 0.5000  4 Sm 3.36, 4 Pb 3.43, 4 In 3.47

Computed properties:
**SG**: Pmmm (47)
**DFT formation energy**: -0.386 eV/atom

=====

## Sm6Dy2Hg (PBE)

Data for Sm6Dy2Hg after structural relaxation.

abc: 3.5833 10.2673 9.6029
angles: 122.32 100.79 90.00
Last column: nearest neighbours and their distance in Å.
Fractional positions:
Sm1 0.1784 0.3395 0.3574  1 Hg 3.28, 7 Sm 3.30-3.60, 3 Dy 3.51-3.66
Sm2 0.8216 0.9821 0.6426  1 Hg 3.28, 7 Sm 3.30-3.60, 3 Dy 3.51-3.66
Sm3 0.8216 0.6605 0.6426  1 Hg 3.28, 7 Sm 3.30-3.60, 3 Dy 3.51-3.66
Sm4 0.5000 0.2888 0.0000  2 Hg 3.46, 6 Sm 3.58-3.60, 4 Dy 3.67
Sm5 0.1784 0.0179 0.3574  1 Hg 3.28, 7 Sm 3.30-3.60, 3 Dy 3.51-3.66
Sm6 0.5000 0.7112 0.0000  2 Hg 3.46, 6 Sm 3.58-3.60, 4 Dy 3.67
Dy1 0.1499 0.6491 0.2983  10 Sm 3.51-3.67, 2 Dy 3.58
Dy2 0.8501 0.3509 0.7017  10 Sm 3.51-3.67, 2 Dy 3.58
Hg1 0.0000 0.0000 0.0000  8 Sm 3.28-3.46, 2 Hg 3.58

Computed properties:
**SG**: Immm (71)
**DFT formation energy**: -0.001 eV/atom

=====

## InGeAu2Se4 (PBE)

Data for InGeAu2Se4 after structural relaxation.

abc: 6.1016 6.1007 7.4144
angles: 114.32 114.31 90.01
Last column: nearest neighbours and their distance in Å.
Fractional positions:
In1 0.9859 0.4859 0.9718  4 Se 2.67
Ge1 0.7357 0.7357 0.4717  4 Se 2.59
Au1 0.4858 0.9861 0.9718  4 Se 2.64
Au2 0.2359 0.2358 0.4718  4 Se 2.63
Se1 0.6084 0.6132 0.7156  1 Ge 2.59, 2 Au 2.63-2.64, 1 In 2.67
Se2 0.8589 0.3647 0.2281  1 Ge 2.59, 2 Au 2.63-2.64, 1 In 2.67
Se3 0.3695 0.8635 0.2280  1 Ge 2.59, 2 Au 2.63-2.64, 1 In 2.67
Se4 0.1070 0.1022 0.7153  1 Ge 2.59, 2 Au 2.63-2.64, 1 In 2.67

Computed properties:
**SG**: I-4 (82)
**Raw formation energy**: -0.163 eV/atom

=====

## Rb3Sm2YS6 (PBE)

Data for Rb3Sm2YS6 after structural relaxation.

abc: 7.1748 7.1748 8.0682
angles: 98.53 98.53 120.00
Last column: nearest neighbours and their distance in Å.
Fractional positions:
Rb1 0.1672 0.8328 0.5000  6 S 3.35-3.38
Rb2 0.8328 0.1672 0.5000  6 S 3.35-3.38
Rb3 0.5000 0.5000 0.5000  6 S 3.34-3.38
Sm1 0.3334 0.6666 0.0000  6 S 2.84
Sm2 0.6666 0.3334 0.0000  6 S 2.84
Y1 0.0000 0.0000 0.0000  6 S 2.79
S1 0.9353 0.6067 0.8058  1 Y 2.79, 2 Sm 2.84
S2 0.7363 0.7363 0.1944  1 Y 2.79, 2 Sm 2.84
S3 0.0647 0.3933 0.1942  1 Y 2.79, 2 Sm 2.84
S4 0.6067 0.9353 0.8058  1 Y 2.79, 2 Sm 2.84
S5 0.2637 0.2637 0.8056  1 Y 2.79, 2 Sm 2.84
S6 0.3933 0.0647 0.1942  1 Y 2.79, 2 Sm 2.84

Computed properties:
**SG**: C2/m (12)
**Raw formation energy**: -1.844 eV/atom

=====

## PuTlGaF6 (PBE)

Data for PuTlGaF6 after structural relaxation.

abc: 6.5170 6.5150 5.2402
angles: 90.05 90.00 59.84
Last column: nearest neighbours and their distance in Å.
Fractional positions:
Pu1 0.6666 0.6665 0.4897  6 F 2.15-2.19
Tl1 0.9998 0.0000 0.0350  3 F 2.70
Ga1 0.3336 0.3331 0.5212  3 F 2.40-2.41
F1 0.9875 0.4331 0.2721  1 Pu 2.19, 1 Ga 2.40
F2 0.3608 0.9023 0.7120  1 Pu 2.15
F3 0.7366 0.3628 0.7142  1 Pu 2.15
F4 0.8996 0.7370 0.7148  1 Pu 2.15
F5 0.4353 0.5794 0.2700  1 Pu 2.19, 1 Ga 2.41
F6 0.5799 0.9859 0.2710  1 Pu 2.19, 1 Ga 2.40

Computed properties:
**SG**: P1 (1)
**Raw formation energy**: -2.690 eV/atom

=====

## TiGa3Pd4 (PBE)

Data for TiGa3Pd4 after structural relaxation.

abc: 4.4184 4.4184 7.6293
angles: 73.17 73.17 60.00
Last column: nearest neighbours and their distance in Å.
Fractional positions:
Pd1 0.8730 0.8730 0.3811  7 Ga 2.69-2.81, 1 Ti 2.74
Pd2 0.3814 0.3814 0.8558  5 Ga 2.56-2.68, 3 Ti 2.75
Pd3 0.1270 0.1270 0.6189  7 Ga 2.69-2.81, 1 Ti 2.74
Pd4 0.6186 0.6186 0.1442  5 Ga 2.56-2.68, 3 Ti 2.75
Ga1 0.2572 0.2572 0.2285  8 Pd 2.62-2.81
Ga2 0.7428 0.7428 0.7715  8 Pd 2.62-2.81
Ga3 0.5000 0.5000 0.5000  8 Pd 2.56-2.69
Ti1 0.0000 0.0000 0.0000  8 Pd 2.74-2.75, 6 Ga 3.03

Computed properties:
**SG**: R-3m (166)
**DFT formation energy**: -0.594 eV/atom

=====

## La4Cu (PBE)

Data for La4Cu after structural relaxation.

abc: 6.7969 6.7969 6.7969
angles: 94.40 94.40 147.85
Last column: nearest neighbours and their distance in Å.
Fractional positions:
La1 0.5761 0.7622 0.3383  2 Cu 3.15
La2 0.7622 0.4239 0.1861  2 Cu 3.15
La3 0.4239 0.2378 0.6617  2 Cu 3.15
La4 0.2378 0.5761 0.8139  2 Cu 3.15
Cu1 0.0000 0.0000 0.0000  8 La 3.15

Computed properties:
**Energy relative to the lowest polymorph listed for this composition**: 0.0000 eV per atom
**SG**: I4/m (87)
**DFT formation energy**: -0.055 eV/atom

=====

## BeSn3Se (PBE)

Data for BeSn3Se after structural relaxation.

abc: 5.5292 5.5292 5.5292
angles: 90.00 90.00 90.00
Last column: nearest neighbours and their distance in Å.
Fractional positions:
Be1 0.5000 0.5000 0.5000  12 Sn 3.91
Sn1 0.0000 0.5000 0.0000  2 Se 2.76
Sn2 0.0000 0.0000 0.5000  2 Se 2.76
Sn3 0.5000 0.0000 0.0000  2 Se 2.76
Se1 0.0000 0.0000 0.0000  6 Sn 2.76

Computed properties:
**Energy relative to the lowest polymorph listed for this composition**: 0.6834 eV per atom
**SG**: Pm-3m (221)
**Raw formation energy**: 0.925 eV/atom

=====

## ZrZn2Au (PBE)

Data for ZrZn2Au after structural relaxation.

abc: 5.5251 5.5251 5.5251
angles: 146.85 126.90 64.04
Last column: nearest neighbours and their distance in Å.
Fractional positions:
Au1 0.2500 0.7500 0.5000  4 Zn 2.72, 4 Zr 2.93
Zn1 0.0131 0.0131 0.0000  2 Au 2.72, 2 Zr 2.93, 4 Zn 2.94
Zn2 0.4869 0.4869 0.0000  2 Au 2.72, 2 Zr 2.93, 4 Zn 2.94
Zr1 0.7500 0.2500 0.5000  4 Zn 2.93, 4 Au 2.93, 2 Zr 3.15

Computed properties:
**SG**: Immm (71)
**DFT formation energy**: -0.163 eV/atom